{
  "formula": "Be2CdTc",
  "functional": "PBE",
  "state": "optimized geometry",
  "dos_ef_per_ev_cell": 2.2,
  "space_group": "P2/m (10)",
  "total_magnetization_mub_per_cell": 0.00,
  "ef_mev_per_atom": 92.7,
  "lattice_angstrom": [[3.0164, 0.0000, 0.0000], [0.0000, 3.0474, 0.0000], [-0.0122, 0.0000, 5.7531]],
  "species": ["Be", "Be", "Cd", "Tc"],
  "fractional_positions": [[0.0005, 0.0000, 0.1825], [0.9995, 0.0000, 0.8175], [0.5000, 0.5000, 0.5000], [0.5000, 0.5000, 0.0000]]
}

{
  "formula": "PaMnPbSe4",
  "functional": "PBE",
  "state": "optimized geometry",
  "dos_ef_per_ev_cell": 10.3,
  "space_group": "P2_1/m (11)",
  "total_magnetization_mub_per_cell": 7.57,
  "raw_formation_energy_mev_per_atom": -763,
  "lattice_angstrom": [[6.7860, 0.0000, 0.0000], [0.0000, 6.4828, 0.0000], [-2.7456, 0.0000, 8.2129]],
  "species": ["Pa", "Pa", "Mn", "Mn", "Pb", "Pb", "Se", "Se", "Se", "Se", "Se", "Se", "Se", "Se"],
  "fractional_positions": [[0.2409, 0.2500, 0.0544], [0.7591, 0.7500, 0.9456], [0.2408, 0.7500, 0.8291], [0.7592, 0.2500, 0.1709], [0.2708, 0.2500, 0.5468], [0.7292, 0.7500, 0.4532], [0.0260, 0.5129, 0.2199], [0.0260, 0.9871, 0.2199], [0.4266, 0.7500, 0.6283], [0.4555, 0.7500, 0.1115], [0.5445, 0.2500, 0.8885], [0.5734, 0.2500, 0.3717], [0.9740, 0.0129, 0.7801], [0.9740, 0.4871, 0.7801]]
}

{
  "formula": "ReAg2W",
  "functional": "PBE",
  "state": "optimized geometry",
  "dos_ef_per_ev_cell": 4.4,
  "space_group": "R-3m (166)",
  "total_magnetization_mub_per_cell": 0.58,
  "relative_energy_ev_per_atom": 0.308,
  "ef_mev_per_atom": 664.5,
  "lattice_angstrom": [[1.3905, 0.8028, 9.7832], [-1.3905, 0.8028, 9.7832], [0.0000, -1.6056, 9.7832]],
  "species": ["Re", "Ag", "Ag", "W"],
  "fractional_positions": [[0.0000, 0.0000, 0.0000], [0.2506, 0.2506, 0.2506], [0.7494, 0.7494, 0.7494], [0.5000, 0.5000, 0.5000]]
}

{
  "formula": "CaW3Se",
  "functional": "PBE",
  "state": "optimized geometry",
  "dos_ef_per_ev_cell": 4.4,
  "space_group": "Pm-3m (221)",
  "total_magnetization_mub_per_cell": 0.00,
  "raw_formation_energy_mev_per_atom": 3312,
  "relative_energy_ev_per_atom": 1.980,
  "lattice_angstrom": [[4.7133, 0.0000, 0.0000], [0.0000, 4.7133, 0.0000], [0.0000, 0.0000, 4.7133]],
  "species": ["Ca", "W", "W", "W", "Se"],
  "fractional_positions": [[0.0000, 0.0000, 0.0000], [0.0000, 0.0000, 0.5000], [0.0000, 0.5000, 0.0000], [0.5000, 0.0000, 0.0000], [0.5000, 0.5000, 0.5000]]
}

{
  "formula": "Mn2AlRh",
  "functional": "PBE",
  "state": "optimized geometry",
  "dos_ef_per_ev_cell": 1.6,
  "space_group": "P4mm (99)",
  "total_magnetization_mub_per_cell": 2.18,
  "ef_mev_per_atom": -392.5,
  "lattice_angstrom": [[2.9509, 0.0000, 0.0000], [0.0000, 2.9509, 0.0000], [0.0000, 0.0000, 5.9196]],
  "species": ["Mn", "Mn", "Al", "Rh"],
  "fractional_positions": [[0.0000, 0.0000, 0.0000], [0.5000, 0.5000, 0.2194], [0.5000, 0.5000, 0.7422], [0.0000, 0.0000, 0.4931]]
}

{
  "formula": "Cs2Li3F5",
  "functional": "PBE",
  "state": "optimized geometry",
  "dos_ef_per_ev_cell": 0.0,
  "space_group": "Amm2 (38)",
  "total_magnetization_mub_per_cell": 0.01,
  "raw_formation_energy_mev_per_atom": -2745,
  "relative_energy_ev_per_atom": 0.038,
  "lattice_angstrom": [[4.0434, 0.0000, 0.0000], [0.0000, 2.0544, 10.2604], [0.0000, -2.0544, 10.2604]],
  "species": ["Cs", "Cs", "Li", "Li", "Li", "F", "F", "F", "F", "F"],
  "fractional_positions": [[0.0000, 0.0000, 0.0000], [0.5000, 0.3486, 0.3486], [0.0000, 0.1529, 0.1529], [0.0000, 0.7431, 0.7431], [0.5000, 0.6075, 0.6075], [0.0000, 0.2425, 0.2425], [0.0000, 0.6445, 0.6445], [0.0000, 0.8394, 0.8394], [0.5000, 0.1186, 0.1186], [0.5000, 0.5093, 0.5093]]
}

{
  "formula": "HoErSc2S6",
  "functional": "PBE",
  "state": "optimized geometry",
  "dos_ef_per_ev_cell": 0.0,
  "space_group": "R3 (146)",
  "total_magnetization_mub_per_cell": 0.00,
  "raw_formation_energy_mev_per_atom": -1965,
  "lattice_angstrom": [[3.3368, 1.9265, 5.9668], [-3.3368, 1.9265, 5.9668], [0.0000, -3.8530, 5.9668]],
  "species": ["Ho", "Er", "Sc", "Sc", "S", "S", "S", "S", "S", "S"],
  "fractional_positions": [[0.0000, 0.0000, 0.0000], [0.4993, 0.4993, 0.4993], [0.3011, 0.3011, 0.3011], [0.8014, 0.8014, 0.8014], [0.0797, 0.6848, 0.4214], [0.1869, 0.5795, 0.9194], [0.4214, 0.0797, 0.6848], [0.5795, 0.9194, 0.1869], [0.6848, 0.4214, 0.0797], [0.9194, 0.1869, 0.5795]]
}

{
  "formula": "YBeHg2",
  "functional": "PBE",
  "state": "optimized geometry",
  "dos_ef_per_ev_cell": 2.2,
  "space_group": "Cm (8)",
  "total_magnetization_mub_per_cell": 0.00,
  "ef_mev_per_atom": -82.1,
  "lattice_angstrom": [[3.7139, -2.1483, 0.0000], [3.7139, 2.1483, 0.0000], [-2.4914, 0.0000, 5.4802]],
  "species": ["Y", "Be", "Hg", "Hg"],
  "fractional_positions": [[0.0000, 0.0000, 0.0000], [0.7913, 0.7913, 0.3713], [0.2213, 0.2213, 0.6638], [0.4513, 0.4513, 0.3525]]
}

{
  "formula": "Tb4Pr7Y",
  "functional": "PBE",
  "state": "optimized geometry",
  "dos_ef_per_ev_cell": 15.6,
  "space_group": "P-1 (2)",
  "total_magnetization_mub_per_cell": 0.00,
  "relative_energy_ev_per_atom": 0.000,
  "ef_mev_per_atom": 8.0,
  "lattice_angstrom": [[6.3847, 0.0000, 0.0000], [-0.0001, 7.3622, 0.0000], [-2.1202, -0.0060, 8.8364]],
  "species": ["Tb", "Tb", "Tb", "Tb", "Pr", "Pr", "Pr", "Pr", "Pr", "Pr", "Pr", "Y"],
  "fractional_positions": [[0.2203, 0.9997, 0.1649], [0.2773, 0.2472, 0.8323], [0.7227, 0.7528, 0.1677], [0.7797, 0.0003, 0.8351], [0.0000, 0.0000, 0.5000], [0.2224, 0.5001, 0.1653], [0.2794, 0.7519, 0.8342], [0.4990, 0.2476, 0.5017], [0.5010, 0.7524, 0.4983], [0.7206, 0.2481, 0.1658], [0.7776, 0.4999, 0.8347], [0.0000, 0.5000, 0.5000]]
}

{
  "formula": "CsZnHg2S",
  "functional": "PBE",
  "state": "optimized geometry",
  "dos_ef_per_ev_cell": 1.5,
  "space_group": "P4/mmm (123)",
  "total_magnetization_mub_per_cell": 0.00,
  "raw_formation_energy_mev_per_atom": -287,
  "relative_energy_ev_per_atom": 0.000,
  "lattice_angstrom": [[5.5493, 0.0000, 0.0000], [0.0000, 5.5493, 0.0000], [0.0000, 0.0000, 4.9835]],
  "species": ["Cs", "Zn", "Hg", "Hg", "S"],
  "fractional_positions": [[0.0000, 0.0000, 0.0000], [0.5000, 0.5000, 0.5000], [0.0000, 0.5000, 0.5000], [0.5000, 0.0000, 0.5000], [0.5000, 0.5000, 0.0000]]
}

{
  "formula": "TcIrRh2",
  "functional": "PBE",
  "state": "optimized geometry",
  "dos_ef_per_ev_cell": 9.7,
  "space_group": "C2/c (15)",
  "total_magnetization_mub_per_cell": 0.00,
  "relative_energy_ev_per_atom": 0.018,
  "ef_mev_per_atom": -82.1,
  "lattice_angstrom": [[2.7236, -5.4680, 0.0000], [2.7236, 5.4680, 0.0000], [-2.7070, 0.0000, 3.8453]],
  "species": ["Tc", "Tc", "Ir", "Ir", "Rh", "Rh", "Rh", "Rh"],
  "fractional_positions": [[0.0620, 0.9380, 0.7500], [0.9380, 0.0620, 0.2500], [0.4402, 0.5598, 0.2500], [0.5598, 0.4402, 0.7500], [0.1863, 0.8137, 0.2500], [0.3134, 0.6866, 0.7500], [0.6866, 0.3134, 0.2500], [0.8137, 0.1863, 0.7500]]
}

{
  "formula": "LiU2S4",
  "functional": "PBE",
  "state": "optimized geometry",
  "dos_ef_per_ev_cell": 7.1,
  "space_group": "C2/m (12)",
  "total_magnetization_mub_per_cell": 5.00,
  "raw_formation_energy_mev_per_atom": -1358,
  "relative_energy_ev_per_atom": 0.000,
  "lattice_angstrom": [[7.1672, -1.9579, 0.0000], [7.1672, 1.9579, 0.0000], [-3.2467, 0.0000, 6.0446]],
  "species": ["Li", "U", "U", "S", "S", "S", "S"],
  "fractional_positions": [[0.0000, 0.0000, 0.0000], [0.2665, 0.2665, 0.2685], [0.7335, 0.7335, 0.7315], [0.1279, 0.1279, 0.4363], [0.3633, 0.3633, 0.0072], [0.6367, 0.6367, 0.9928], [0.8721, 0.8721, 0.5637]]
}

{
  "formula": "TlTeN2",
  "functional": "PBE",
  "state": "optimized geometry",
  "dos_ef_per_ev_cell": 2.0,
  "space_group": "Fm-3m (225)",
  "total_magnetization_mub_per_cell": 0.00,
  "raw_formation_energy_mev_per_atom": 1742,
  "relative_energy_ev_per_atom": 1.809,
  "lattice_angstrom": [[0.0000, 3.1095, 3.1095], [3.1095, 0.0000, 3.1095], [3.1095, 3.1095, 0.0000]],
  "species": ["Tl", "Te", "N", "N"],
  "fractional_positions": [[0.0000, 0.0000, 0.0000], [0.5000, 0.5000, 0.5000], [0.2500, 0.2500, 0.2500], [0.7500, 0.7500, 0.7500]]
}